[1]
CoNiPb2 | PBE | optimized geometry

- E above lowest polymorph: 0.217 eV per atom
- Total magnetic moment: 0.9 μB per formula unit
- Crystal system: cubic
- Energy of formation: 0.48 eV per atom
- Symmetry: Fm-3m, No. 225

a b c (Å): 4.713 4.713 4.713
angles (deg): 60.00 60.00 60.00
Site moments in Bohr magnetons follow the coordinates.
Element x y z (fractional)
Pb1 0.750 0.750 0.750  -0.01
Pb2 0.250 0.250 0.250  -0.01
Co1 0.000 0.000 0.000  0.94
Ni1 0.500 0.500 0.500  0.07



[2]
Co4NiPb | PBE | optimized geometry

- Total magnetic moment: 6.4 μB per formula unit
- Crystal system: cubic
- Energy of formation: 0.37 eV per atom
- Symmetry: F-43m, No. 216

a b c (Å): 4.828 4.828 4.828
angles (deg): 60.00 60.00 60.00
Site moments in Bohr magnetons follow the coordinates.
Element x y z (fractional)
Ni1 0.750 0.750 0.750  0.47
Co1 0.376 0.376 0.376  1.52
Co2 0.376 0.376 0.872  1.52
Co3 0.376 0.872 0.376  1.52
Co4 0.872 0.376 0.376  1.52
Pb1 0.000 0.000 0.000  -0.03



[3]
CoNiPb3 | PBE | optimized geometry

- E above lowest polymorph: 0.000 eV per atom
- Total magnetic moment: 0.5 μB per formula unit
- Crystal system: cubic
- Energy of formation: 0.63 eV per atom
- Symmetry: Pm-3m, No. 221

a b c (Å): 5.022 5.022 5.022
angles (deg): 90.00 90.00 90.00
Site moments in Bohr magnetons follow the coordinates.
Element x y z (fractional)
Ni1 0.500 0.500 0.500  -0.07
Pb1 0.500 0.000 0.000  -0.01
Pb2 0.000 0.500 0.000  0.01
Pb3 0.000 0.000 0.500  0.02
Co1 0.000 0.000 0.000  0.48



[4]
CoNiPb3 | PBE | optimized geometry

- E above lowest polymorph: 0.077 eV per atom
- Total magnetic moment: 1.8 μB per formula unit
- Crystal system: cubic
- Energy of formation: 0.70 eV per atom
- Symmetry: Pm-3m, No. 221

a b c (Å): 5.096 5.096 5.096
angles (deg): 90.00 90.00 90.00
Site moments in Bohr magnetons follow the coordinates.
Element x y z (fractional)
Pb1 0.500 0.000 0.000  -0.02
Pb2 0.000 0.500 0.000  -0.03
Pb3 0.000 0.000 0.500  -0.04
Ni1 0.000 0.000 0.000  -0.04
Co1 0.500 0.500 0.500  1.96



[5]
CoNiPb2 | PBE | optimized geometry

- E above lowest polymorph: 0.000 eV per atom
- Total magnetic moment: 1.3 μB per formula unit
- Crystal system: orthorhombic
- Energy of formation: 0.27 eV per atom
- Symmetry: Amm2, No. 38

a b c (Å): 5.351 5.351 4.038
angles (deg): 90.00 90.00 40.65
Site moments in Bohr magnetons follow the coordinates.
Element x y z (fractional)
Pb1 0.731 0.731 0.625  -0.02
Pb2 0.019 0.019 0.125  -0.02
Ni1 0.305 0.305 0.125  0.15
Co1 0.445 0.445 0.625  1.20



[6]
CoNiPb4 | PBE | optimized geometry

- Total magnetic moment: 1.6 μB per formula unit
- Crystal system: cubic
- Energy of formation: 1.08 eV per atom
- Symmetry: F-43m, No. 216

a b c (Å): 6.249 6.249 6.249
angles (deg): 60.00 60.00 60.00
Site moments in Bohr magnetons follow the coordinates.
Element x y z (fractional)
Co1 0.750 0.750 0.750  2.02
Pb1 0.375 0.375 0.375  -0.01
Pb2 0.375 0.375 0.875  -0.01
Pb3 0.375 0.875 0.375  -0.01
Pb4 0.875 0.375 0.375  -0.01
Ni1 0.000 0.000 0.000  -0.36